Crystalline Tb12Ni3N5 at its relaxed geometry, computed with PBE-GGA.

POSCAR file:
```
Tb12Ni3N5
1.0
-7.592 7.592 7.592
7.592 -7.592 7.592
7.592 7.592 -7.592
Tb Ni N
48 12 20
direct
0.024 0.205 0.120
0.024 0.318 0.904
0.086 0.705 0.682
0.086 0.880 0.404
0.096 0.620 0.414
0.096 0.976 0.682
0.120 0.024 0.205
0.120 0.596 0.914
0.182 0.205 0.586
0.182 0.476 0.596
0.205 0.120 0.024
0.205 0.586 0.182
0.295 0.318 0.914
0.295 0.476 0.380
0.318 0.904 0.024
0.318 0.914 0.295
0.380 0.295 0.476
0.380 0.586 0.904
0.404 0.086 0.880
0.404 0.818 0.524
0.414 0.096 0.620
0.414 0.818 0.795
0.476 0.380 0.295
0.476 0.596 0.182
0.524 0.404 0.818
0.524 0.620 0.705
0.586 0.182 0.205
0.586 0.904 0.380
0.596 0.182 0.476
0.596 0.914 0.120
0.620 0.414 0.096
0.620 0.705 0.524
0.682 0.086 0.705
0.682 0.096 0.976
0.705 0.524 0.620
0.705 0.682 0.086
0.795 0.414 0.818
0.795 0.880 0.976
0.818 0.524 0.404
0.818 0.795 0.414
0.880 0.404 0.086
0.880 0.976 0.795
0.904 0.024 0.318
0.904 0.380 0.586
0.914 0.120 0.596
0.914 0.295 0.318
0.976 0.682 0.096
0.976 0.795 0.880
0.125 0.250 0.375
0.125 0.375 0.750
0.250 0.375 0.125
0.250 0.875 0.625
0.375 0.125 0.250
0.375 0.750 0.125
0.625 0.250 0.875
0.625 0.875 0.750
0.750 0.125 0.375
0.750 0.625 0.875
0.875 0.625 0.250
0.875 0.750 0.625
0.000 0.000 0.000
0.000 0.000 0.500
0.000 0.500 0.000
0.000 0.500 0.500
0.125 0.750 0.875
0.125 0.875 0.250
0.250 0.125 0.875
0.250 0.625 0.375
0.375 0.250 0.625
0.375 0.625 0.750
0.500 0.000 0.000
0.500 0.000 0.500
0.500 0.500 0.000
0.500 0.500 0.500
0.625 0.375 0.250
0.625 0.750 0.375
0.750 0.375 0.625
0.750 0.875 0.125
0.875 0.125 0.750
0.875 0.250 0.125
```

***

Crystalline TbNiN at its relaxed geometry, computed with PBE-GGA.

POSCAR file:
```
TbNiN
1.0
3.590 0.000 0.000
-1.795 3.109 0.000
0.000 0.000 3.532
Tb Ni N
1 1 1
direct
0.000 0.000 0.000
0.667 0.333 0.500
0.333 0.667 0.500
```

***

Crystalline Tb6Ni2N at its relaxed geometry, computed with PBE-GGA.

POSCAR file:
```
Tb6Ni2N
1.0
6.340 0.000 0.000
0.000 6.874 0.000
-6.165 0.000 9.563
Tb Ni N
12 4 2
direct
0.113 0.039 0.240
0.113 0.461 0.740
0.238 0.691 0.063
0.238 0.809 0.563
0.374 0.177 0.062
0.374 0.323 0.562
0.626 0.677 0.438
0.626 0.823 0.938
0.762 0.191 0.437
0.762 0.309 0.937
0.887 0.539 0.260
0.887 0.961 0.760
0.300 0.095 0.755
0.300 0.405 0.255
0.700 0.595 0.745
0.700 0.905 0.245
0.000 0.000 0.000
0.000 0.500 0.500
```

***

Crystalline TbTi2NiN4 at its relaxed geometry, computed with PBE-GGA.

POSCAR file:
```
TbTi2NiN4
1.0
1.554 -5.242 0.000
1.554 5.242 0.000
0.000 0.000 10.581
Tb Ti Ni N
2 4 2 8
direct
0.111 0.889 0.750
0.889 0.111 0.250
0.368 0.632 0.549
0.368 0.632 0.951
0.632 0.368 0.049
0.632 0.368 0.451
0.153 0.847 0.250
0.847 0.153 0.750
0.000 0.000 0.000
0.000 0.000 0.500
0.269 0.731 0.110
0.269 0.731 0.390
0.446 0.554 0.750
0.554 0.446 0.250
0.731 0.269 0.610
0.731 0.269 0.890
```

***

no.,theoretical density (g/cm³),uncorrected formation energy (eV/atom)
1,8.2,-0.763
2,9.8,-0.520
3,8.6,-0.557
4,7.1,-1.182